1.
Pm3Ru after structural relaxation, computed with GGA-PBE.

Uncorrected energy (eV per atom): -6.04
E above lowest polymorph (meV/atom): 0
Formation energy (eV/atom): -0.157

abc: 8.9856 8.9856 6.3236
angles: 110.56 110.56 82.94
Last column: nearest neighbours and their distance in Å.
Fractional positions:
Pm: 0.0000 0.0000 0.0000  4 Ru 3.01-3.26
Pm: 0.0000 0.2841 0.6422  4 Ru 3.01-3.26
Pm: 0.1649 0.6420 0.1656  2 Ru 2.98-2.99, 2 Pm 3.24-3.30
Pm: 0.3579 0.0476 0.5012  2 Ru 2.92
Pm: 0.3577 0.2374 0.0964  2 Ru 2.92
Pm: 0.3581 0.4504 0.6422  2 Ru 2.98-2.99, 2 Pm 3.24-3.31
Pm: 0.3580 0.8351 0.8344  2 Ru 2.98-2.99, 2 Pm 3.24-3.30
Pm: 0.5496 0.6419 0.3578  2 Ru 2.98-2.99, 2 Pm 3.24-3.31
Pm: 0.7159 0.0000 0.3578  4 Ru 3.01-3.26
Pm: 0.7161 0.2839 0.0000  4 Ru 3.01-3.26
Pm: 0.7626 0.6423 0.9036  2 Ru 2.92
Pm: 0.9524 0.6421 0.4988  2 Ru 2.92
Ru: 0.0674 0.3515 0.2098  8 Pm 2.92-3.26
Ru: 0.0670 0.9330 0.5000  8 Pm 2.92-3.26
Ru: 0.6482 0.3518 0.5000  8 Pm 2.92-3.26
Ru: 0.6485 0.9326 0.7902  8 Pm 2.92-3.26


2.
Sc2TaIr after structural relaxation, computed with GGA-PBE.

Uncorrected energy (eV per atom): -8.49
E above lowest polymorph (meV/atom): 254
Formation energy (eV/atom): -0.146

abc: 9.4468 9.4468 9.4468
angles: 18.62 18.62 18.62
Last column: nearest neighbours and their distance in Å.
Fractional positions:
Sc: 0.2430 0.2430 0.2430  3 Ir 2.76, 6 Sc 3.06, 3 Ta 3.07
Sc: 0.7570 0.7570 0.7570  3 Ir 2.76, 6 Sc 3.06, 3 Ta 3.07
Ta: 0.0000 0.0000 0.0000  6 Ta 3.06, 6 Sc 3.07
Ir: 0.5000 0.5000 0.5000  6 Sc 2.76, 6 Ir 3.06


3.
Hf2MnVRh after structural relaxation, computed with GGA-PBE.

Uncorrected energy (eV per atom): -8.71
Formation energy (eV/atom): 0.403

abc: 4.8170 4.8170 4.0118
angles: 90.00 90.00 90.00
Last column: nearest neighbours and their distance in Å.
Fractional positions:
Hf: 0.0000 0.5000 0.0000  2 Mn 2.41
Hf: 0.5000 0.0000 0.0000  2 Mn 2.41
Mn: 0.0000 0.0000 0.0000  2 V 2.01
V: 0.0000 0.0000 0.5000  2 Mn 2.01
Rh: 0.5000 0.5000 0.5000  8 Hf 3.13, 4 V 3.41